VASP calculation (PBE-GGA) on a geometry-optimized Pm2Sm2Y2Ho structure.

Results
Magnetization: 0.00 μB per cell
Total energy: -106.637 eV/cell

Cell lengths 5.7326, 5.7326, 24.6678 Å; angles 90.00, 90.00, 120.00 degrees
Space group R-3m (No. 166, hexagonal axes)
Unique sites:
Pm (0.0000, 0.0000, 0.1394) (multiplicity 6)
Sm (0.0000, 0.0000, 0.2847) (multiplicity 6)
Y (0.0000, 0.0000, 0.4282) (multiplicity 6)
Ho (0.0000, 0.0000, 0.0000) (multiplicity 3)


VASP calculation (PBE-GGA) on a geometry-optimized PmSm2Y4Ho2 structure.

Results
Magnetization: 0.00 μB per cell
Total energy: -98.351 eV/cell

Cell lengths 18.7529, 3.6159, 9.6067 Å; angles 90.00, 115.73, 90.00 degrees
Space group C2/m (No. 12)
Unique sites:
Pm (0.0000, 0.0000, 0.0000) (multiplicity 2)
Sm (0.1484, 0.0000, 0.6675) (multiplicity 4)
Y (0.0190, 0.5000, 0.3337) (multiplicity 4)
Y (0.1854, 0.0000, 0.3336) (multiplicity 4)
Ho (0.1675, 0.5000, 0.0013) (multiplicity 4)


VASP calculation (PBE-GGA) on a geometry-optimized Pm2SmY3Ho6 structure.

Results
Magnetization: 0.00 μB per cell
Total energy: -121.693 eV/cell

Cell lengths 6.1822, 10.6991, 11.8018 Å; angles 90.00, 100.02, 90.00 degrees
Space group C2/m (No. 12)
Unique sites:
Pm (0.0000, 0.1667, 0.0000) (multiplicity 4)
Sm (0.0000, 0.5000, 0.0000) (multiplicity 2)
Y (0.0000, 0.0000, 0.5000) (multiplicity 2)
Y (0.0000, 0.3334, 0.5000) (multiplicity 4)
Ho (0.2488, 0.1666, 0.7483) (multiplicity 8)
Ho (0.2486, 0.5000, 0.7483) (multiplicity 4)


VASP calculation (PBE-GGA) on a geometry-optimized PmSm3Y2Ho6 structure.

Results
Magnetization: 0.00 μB per cell
Total energy: -118.189 eV/cell

Cell lengths 6.1861, 10.7075, 11.8051 Å; angles 90.00, 100.01, 90.00 degrees
Space group C2/m (No. 12)
Unique sites:
Pm (0.0000, 0.0000, 0.0000) (multiplicity 2)
Sm (0.0000, 0.1669, 0.5000) (multiplicity 4)
Sm (0.0000, 0.5000, 0.5000) (multiplicity 2)
Y (0.0000, 0.3333, 0.0000) (multiplicity 4)
Ho (0.2494, 0.0000, 0.7505) (multiplicity 4)
Ho (0.2503, 0.1665, 0.2496) (multiplicity 8)


VASP calculation (PBE-GGA) on a geometry-optimized Pm4Sm2Y2Ho structure.

Results
Magnetization: 0.00 μB per cell
Total energy: -91.573 eV/cell

Cell lengths 15.3642, 5.1161, 8.0690 Å; angles 90.00, 108.55, 90.00 degrees
Space group C2/m (No. 12)
Unique sites:
Pm (0.0552, 0.0000, 0.3321) (multiplicity 4)
Pm (0.2220, 0.5000, 0.3328) (multiplicity 4)
Sm (0.1110, 0.5000, 0.6677) (multiplicity 4)
Y (0.1662, 0.0000, 0.0000) (multiplicity 4)
Ho (0.0000, 0.5000, 0.0000) (multiplicity 2)


VASP calculation (PBE-GGA) on a geometry-optimized Pm3SmYHo structure.

Results
Magnetization: 0.00 μB per cell
Total energy: -59.816 eV/cell

Cell lengths 8.0763, 5.1181, 10.2064 Å; angles 90.00, 108.46, 90.00 degrees
Space group P2_1/m (No. 11)
Unique sites:
Pm (0.1663, 0.2500, 0.0423) (multiplicity 2)
Pm (0.1684, 0.7500, 0.7908) (multiplicity 2)
Pm (0.1687, 0.2500, 0.5416) (multiplicity 2)
Sm (0.4985, 0.7500, 0.1263) (multiplicity 2)
Y (0.1694, 0.7500, 0.2936) (multiplicity 2)
Ho (0.4994, 0.2500, 0.3769) (multiplicity 2)


VASP calculation (PBE-GGA) on a geometry-optimized PmSmY2Ho5 structure.

Results
Magnetization: 0.00 μB per cell
Total energy: -175.587 eV/cell

Cell lengths 5.6212, 19.7646, 10.6226 Å; angles 90.00, 90.00, 90.00 degrees
Space group Cmc2_1 (No. 36)
Unique sites:
Pm (0.0000, 0.0831, 0.0000) (multiplicity 4)
Sm (0.0000, 0.2975, 0.5577) (multiplicity 4)
Y (0.0000, 0.3863, 0.8678) (multiplicity 4)
Y (0.0000, 0.3904, 0.2816) (multiplicity 4)
Ho (0.0000, 0.0216, 0.2831) (multiplicity 4)
Ho (0.0000, 0.1076, 0.5698) (multiplicity 4)
Ho (0.0000, 0.2014, 0.2544) (multiplicity 4)
Ho (0.0000, 0.2171, 0.8552) (multiplicity 4)
Ho (0.0000, 0.4812, 0.5738) (multiplicity 4)


VASP calculation (PBE-GGA) on a geometry-optimized Pm5SmY2Ho structure.

Results
Magnetization: 0.00 μB per cell
Total energy: -178.807 eV/cell

Cell lengths 5.6771, 20.3645, 10.7011 Å; angles 90.00, 90.00, 90.00 degrees
Space group Cmc2_1 (No. 36)
Unique sites:
Pm (0.0000, 0.0179, 0.0000) (multiplicity 4)
Pm (0.0000, 0.2818, 0.2865) (multiplicity 4)
Pm (0.0000, 0.2974, 0.6819) (multiplicity 4)
Pm (0.0000, 0.3926, 0.0024) (multiplicity 4)
Pm (0.0000, 0.4798, 0.7203) (multiplicity 4)
Sm (0.0000, 0.2019, 0.9872) (multiplicity 4)
Y (0.0000, 0.1109, 0.7140) (multiplicity 4)
Y (0.0000, 0.1162, 0.2966) (multiplicity 4)
Ho (0.0000, 0.4104, 0.4366) (multiplicity 4)


What did the first record say?
VASP calculation (PBE-GGA) on a geometry-optimized Pm2Sm2Y2Ho structure.

Results
Magnetization: 0.00 μB per cell
Total energy: -106.637 eV/cell

Cell lengths 5.7326, 5.7326, 24.6678 Å; angles 90.00, 90.00, 120.00 degrees
Space group R-3m (No. 166, hexagonal axes)
Unique sites:
Pm (0.0000, 0.0000, 0.1394) (multiplicity 6)
Sm (0.0000, 0.0000, 0.2847) (multiplicity 6)
Y (0.0000, 0.0000, 0.4282) (multiplicity 6)
Ho (0.0000, 0.0000, 0.0000) (multiplicity 3)


Copy entry 3 word for word.
VASP calculation (PBE-GGA) on a geometry-optimized Pm2SmY3Ho6 structure.

Results
Magnetization: 0.00 μB per cell
Total energy: -121.693 eV/cell

Cell lengths 6.1822, 10.6991, 11.8018 Å; angles 90.00, 100.02, 90.00 degrees
Space group C2/m (No. 12)
Unique sites:
Pm (0.0000, 0.1667, 0.0000) (multiplicity 4)
Sm (0.0000, 0.5000, 0.0000) (multiplicity 2)
Y (0.0000, 0.0000, 0.5000) (multiplicity 2)
Y (0.0000, 0.3334, 0.5000) (multiplicity 4)
Ho (0.2488, 0.1666, 0.7483) (multiplicity 8)
Ho (0.2486, 0.5000, 0.7483) (multiplicity 4)